Computed, not measured: an optimized crystal structure of PmDyHoTh at the PBE level of DFT.

Summary:
total magnetic moment: 0.00 μB/f.u.
uncorrected energy: -21.3 eV/cell
space group: P4mm, No. 99
N(E_F): 1.1638 states/eV per atom
crystal system: tetragonal

a b c (Å): 3.5790 3.5790 10.0905
angles (deg): 90.00 90.00 90.00
With the nearest neighbours (Å) after each atom.
Positions (direct):
Pm 0.0000 0.0000 0.0000  4 Pm 3.58, 4 Ho 3.63, 4 Dy 3.64
Dy 0.5000 0.5000 0.7409  4 Th 3.52, 4 Dy 3.58, 4 Pm 3.64
Ho 0.5000 0.5000 0.2575  4 Th 3.51, 4 Ho 3.58, 4 Pm 3.63
Th 0.0000 0.0000 0.4987  4 Ho 3.51, 4 Dy 3.52, 4 Th 3.58